1.
{
  "formula": "FeRu2Pb",
  "functional": "GGA-PBE",
  "state": "optimized geometry",
  "energy_ev_per_atom": -7.132,
  "mass_density_g_cm3": 12.0,
  "lattice": [[-1.5417, 2.3526, 4.4216], [1.5417, -2.3526, 4.4216], [1.5417, 2.3526, -4.4216]],
  "species": ["Fe", "Ru", "Ru", "Pb"],
  "fractional_positions": [[0.0000, 0.0000, 0.0000], [0.2284, 0.7284, 0.5000], [0.7716, 0.2716, 0.5000], [0.5000, 0.5000, 0.0000]]
}

=====

2.
{
  "formula": "In2TcTe",
  "functional": "GGA-PBE",
  "state": "optimized geometry",
  "raw_formation_energy_ev_per_atom": 0.1115,
  "mass_density_g_cm3": 7.8,
  "lattice": [[-1.6020, 2.3133, 6.5249], [1.6020, -2.3133, 6.5249], [1.6020, 2.3133, -6.5249]],
  "species": ["In", "In", "Tc", "Te"],
  "fractional_positions": [[0.0000, 0.0000, 0.0000], [0.6731, 0.1731, 0.5000], [0.1877, 0.6877, 0.5000], [0.3521, 0.3521, 0.0000]]
}

=====

3.
{
  "formula": "CeAlS3",
  "functional": "GGA-PBE",
  "state": "optimized geometry",
  "raw_formation_energy_ev_per_atom": -1.3023,
  "mass_density_g_cm3": 4.3,
  "lattice": [[3.2510, -6.8727, 0.0000], [3.2510, 6.8727, 0.0000], [0.0000, 0.0000, 4.5524]],
  "species": ["Ce", "Ce", "Al", "Al", "S", "S", "S", "S", "S", "S"],
  "fractional_positions": [[0.1552, 0.8448, 0.0000], [0.8448, 0.1552, 0.0000], [0.3895, 0.6105, 0.5000], [0.6105, 0.3895, 0.5000], [0.0000, 0.5000, 0.5000], [0.2249, 0.2249, 0.5000], [0.3606, 0.6394, 0.0000], [0.5000, 0.0000, 0.5000], [0.6394, 0.3606, 0.0000], [0.7751, 0.7751, 0.5000]]
}

=====

4.
{
  "formula": "UTe2O8F",
  "functional": "GGA-PBE",
  "state": "optimized geometry",
  "raw_formation_energy_ev_per_atom": -1.3812,
  "mass_density_g_cm3": 7.5,
  "lattice": [[4.9457, 0.0000, 0.0000], [0.0050, 5.1124, 0.0000], [1.9266, 2.0957, 5.6357]],
  "species": ["U", "Te", "Te", "O", "O", "O", "O", "O", "O", "O", "O", "F"],
  "fractional_positions": [[0.0000, 0.0000, 0.0000], [0.4188, 0.4086, 0.2894], [0.5812, 0.5914, 0.7106], [0.2346, 0.7689, 0.1975], [0.2737, 0.3457, 0.0336], [0.2783, 0.3897, 0.6440], [0.3249, 0.8729, 0.7445], [0.6751, 0.1271, 0.2555], [0.7217, 0.6103, 0.3560], [0.7263, 0.6543, 0.9664], [0.7654, 0.2311, 0.8025], [0.0000, 0.0000, 0.5000]]
}

=====

5.
{
  "formula": "K5Pb",
  "functional": "GGA-PBE",
  "state": "optimized geometry",
  "energy_ev_per_atom": -1.563,
  "mass_density_g_cm3": 2.0,
  "lattice": [[7.3960, -2.2788, 0.0000], [7.3960, 2.2788, 0.0000], [-4.1496, 0.0000, 10.1527]],
  "species": ["K", "K", "K", "K", "K", "Pb"],
  "fractional_positions": [[0.0000, 0.0000, 0.0000], [0.0184, 0.0184, 0.4011], [0.3615, 0.3615, 0.6284], [0.7044, 0.7044, 0.8541], [0.7233, 0.7233, 0.2564], [0.3610, 0.3610, 0.1275]]
}

=====

6.
{
  "formula": "Li3P",
  "functional": "GGA-PBE",
  "state": "optimized geometry",
  "energy_ev_per_atom": -3.038,
  "mass_density_g_cm3": 1.4,
  "lattice": [[3.2291, 0.0000, 0.0000], [0.0000, 3.2291, 0.0000], [0.0000, 0.0000, 5.9640]],
  "species": ["Li", "Li", "Li", "P"],
  "fractional_positions": [[0.0000, 0.0000, 0.0000], [0.5000, 0.5000, 0.2919], [0.5000, 0.5000, 0.7081], [0.0000, 0.0000, 0.5000]]
}

=====

7.
{
  "formula": "KHgOs2",
  "functional": "GGA-PBE",
  "state": "optimized geometry",
  "energy_ev_per_atom": -4.763,
  "mass_density_g_cm3": 10.8,
  "lattice": [[-1.9030, 2.7101, 4.6391], [1.9030, -2.7101, 4.6391], [1.9030, 2.7101, -4.6391]],
  "species": ["K", "Hg", "Os", "Os"],
  "fractional_positions": [[0.0000, 0.0000, 0.0000], [0.7033, 0.2033, 0.5000], [0.3013, 0.8013, 0.5000], [0.4444, 0.4444, 0.0000]]
}

=====

8.
{
  "formula": "Zr3TlH",
  "functional": "GGA-PBE",
  "state": "optimized geometry",
  "energy_ev_per_atom": -6.470,
  "mass_density_g_cm3": 8.5,
  "lattice": [[5.3919, -3.2339, 0.0000], [5.3919, 3.2339, 0.0000], [-1.1304, 0.0000, 5.3723]],
  "species": ["Zr", "Zr", "Zr", "Zr", "Zr", "Zr", "Tl", "Tl", "H", "H"],
  "fractional_positions": [[0.0000, 0.0000, 0.0000], [0.0035, 0.4978, 0.9223], [0.2566, 0.7616, 0.5125], [0.4978, 0.0035, 0.9223], [0.7616, 0.2566, 0.5125], [0.7621, 0.7621, 0.4345], [0.2494, 0.2494, 0.4232], [0.5058, 0.5058, 0.0242], [0.6469, 0.6469, 0.6875], [0.8312, 0.8312, 0.1167]]
}

=====

9.
{
  "formula": "Mg3Ga8Cu3",
  "functional": "GGA-PBE",
  "state": "optimized geometry",
  "energy_ev_per_atom": -3.074,
  "mass_density_g_cm3": 5.7,
  "lattice": [[-2.1675, 4.6967, 5.8520], [2.1675, -4.6967, 5.8520], [2.1675, 4.6967, -5.8520]],
  "species": ["Mg", "Mg", "Mg", "Ga", "Ga", "Ga", "Ga", "Ga", "Ga", "Ga", "Ga", "Cu", "Cu", "Cu"],
  "fractional_positions": [[0.0000, 0.0000, 0.0000], [0.2959, 0.2959, 0.0000], [0.7041, 0.7041, 0.0000], [0.0074, 0.6450, 0.3624], [0.1600, 0.8678, 0.2922], [0.2826, 0.6450, 0.6376], [0.4244, 0.1322, 0.2922], [0.5756, 0.8678, 0.7078], [0.7174, 0.3550, 0.3624], [0.8400, 0.1322, 0.7078], [0.9926, 0.3550, 0.6376], [0.3484, 0.5000, 0.8484], [0.5000, 0.0000, 0.5000], [0.6516, 0.5000, 0.1516]]
}

=====

10.
{
  "formula": "MnPSeSN",
  "functional": "GGA-PBE",
  "state": "optimized geometry",
  "raw_formation_energy_ev_per_atom": -0.0789,
  "mass_density_g_cm3": 4.7,
  "lattice": [[5.1959, -1.3964, 0.0000], [5.1959, 1.3964, 0.0000], [-1.7152, 0.0000, 5.1293]],
  "species": ["Mn", "P", "Se", "S", "N"],
  "fractional_positions": [[0.0000, 0.0000, 0.0000], [0.2052, 0.2052, 0.9751], [0.4009, 0.4009, 0.5842], [0.5659, 0.5659, 0.3201], [0.7984, 0.7984, 0.9892]]
}

=====

11.
{
  "formula": "Na3TeBr",
  "functional": "GGA-PBE",
  "state": "optimized geometry",
  "raw_formation_energy_ev_per_atom": -0.9629,
  "mass_density_g_cm3": 2.9,
  "lattice": [[5.4020, 0.0000, 0.0000], [0.0000, 5.4020, 0.0000], [0.0000, 0.0000, 5.4020]],
  "species": ["Na", "Na", "Na", "Te", "Br"],
  "fractional_positions": [[0.0000, 0.0000, 0.5000], [0.0000, 0.5000, 0.0000], [0.5000, 0.0000, 0.0000], [0.5000, 0.5000, 0.5000], [0.0000, 0.0000, 0.0000]]
}

=====

12.
{
  "formula": "BeAlAu6",
  "functional": "GGA-PBE",
  "state": "optimized geometry",
  "energy_ev_per_atom": -3.468,
  "mass_density_g_cm3": 14.4,
  "lattice": [[5.4983, 0.0000, 0.0000], [1.9962, 5.1419, 0.0000], [1.9935, 1.3888, 4.9776]],
  "species": ["Be", "Al", "Au", "Au", "Au", "Au", "Au", "Au"],
  "fractional_positions": [[0.0000, 0.0000, 0.0000], [0.5000, 0.5000, 0.5000], [0.0192, 0.4546, 0.7624], [0.2380, 0.9817, 0.5443], [0.4579, 0.7609, 0.0185], [0.5421, 0.2391, 0.9815], [0.7620, 0.0183, 0.4557], [0.9808, 0.5454, 0.2376]]
}

=====

- Which formula does entry 2 have?
  In2TcTe